A relaxed TlVAsCl6 crystal. Source: Alexandria, functional GGA-PBE.

Lattice parameters (Å, degrees): 6.561 6.561 7.117 89.99 90.00 60.00
Last column: magnetic moment on the atom in μB.
Positions (direct):
V: 0.667 0.667 0.500  2.53
Cl: 0.993 0.376 0.302  -0.01
Cl: 0.376 0.631 0.302  -0.01
Cl: 0.631 0.376 0.698  -0.01
Tl: 0.000 0.000 0.000  0.01
Cl: 0.631 0.993 0.302  -0.01
Cl: 0.993 0.631 0.698  -0.01
Cl: 0.376 0.993 0.698  -0.01
As: 0.333 0.333 0.500  0.07

Output
**Formation energy (no corrections)**: -905 meV/atom



A relaxed Na2TiV crystal. Source: Alexandria, functional GGA-PBE.

Lattice parameters (Å, degrees): 8.292 8.292 6.382 49.49 49.49 90.00
Last column: magnetic moment on the atom in μB.
Positions (direct):
Na: 0.636 0.125 0.250  0.00
Na: 0.375 0.364 0.750  0.00
Na: 0.114 0.625 0.250  0.00
V: 0.000 0.000 0.000  1.93
V: 0.750 0.250 0.500  1.93
Ti: 0.250 0.750 0.500  -0.56
Na: 0.875 0.886 0.750  0.00
Ti: 0.500 0.500 0.000  -0.56



A relaxed Er6SbC2S3 crystal. Source: Alexandria, functional GGA-PBE.

Lattice parameters (Å, degrees): 3.812 7.887 8.682 102.21 102.68 90.00
Positions (direct):
Er: 0.977 0.720 0.953
C: 0.172 0.343 0.344
Sb: 0.500 0.000 0.000
Er: 0.678 0.567 0.356
S: 0.500 0.500 0.000
Er: 0.023 0.280 0.047
C: 0.828 0.657 0.656
Er: 0.322 0.433 0.644
Er: 0.323 0.871 0.647
S: 0.163 0.833 0.326
S: 0.837 0.167 0.674
Er: 0.677 0.129 0.353

Output
**Formation energy (no corrections)**: -1301 meV/atom



Computed values of DFT total energy (unit: eV per atom) for the preceding records, in sequence: -3.93 -3.72 -6.49.